(1)
# Hf3FeCu | Alexandria | GGA-PBE | relaxed
# Excess energy over the best structure of this formula in the dataset in eV per formula unit: 2.81
# ΔE_f in eV/atom: 0.43
data_Hf3FeCu
_space_group_name_H-M_alt 'P m -3 m'
_space_group_IT_number 221
_space_group_name_Hall '-P 4 2 3'
_cell_length_a 4.727
_cell_length_b 4.727
_cell_length_c 4.727
_cell_angle_alpha 90.00
_cell_angle_beta 90.00
_cell_angle_gamma 90.00
loop_
_atom_site_label
_atom_site_type_symbol
_atom_site_fract_x
_atom_site_fract_y
_atom_site_fract_z
_atom_site_occupancy
Hf1 Hf 0.000 0.000 0.500 1
Fe1 Fe 0.000 0.000 0.000 1
Cu1 Cu 0.500 0.500 0.500 1


(2)
# Co4SiAu | Alexandria | GGA-PBE | relaxed
# Raw formation energy in meV/atom: 266
data_Co4SiAu
_space_group_name_H-M_alt 'F -4 3 m'
_space_group_IT_number 216
_space_group_name_Hall 'F -4 2 3'
_cell_length_a 6.722
_cell_length_b 6.722
_cell_length_c 6.722
_cell_angle_alpha 90.00
_cell_angle_beta 90.00
_cell_angle_gamma 90.00
loop_
_atom_site_label
_atom_site_type_symbol
_atom_site_fract_x
_atom_site_fract_y
_atom_site_fract_z
_atom_site_occupancy
Co1 Co 0.125 0.125 0.125 1
Si1 Si 0.250 0.250 0.750 1
Au1 Au 0.000 0.000 0.500 1


(3)
# BaY3Ni | Alexandria | GGA-PBE | relaxed
# Excess energy over the best structure of this formula in the dataset in eV per formula unit: 7.81
# ΔE_f in eV/atom: 1.52
data_BaY3Ni
_space_group_name_H-M_alt 'P m -3 m'
_space_group_IT_number 221
_space_group_name_Hall '-P 4 2 3'
_cell_length_a 5.576
_cell_length_b 5.576
_cell_length_c 5.576
_cell_angle_alpha 90.00
_cell_angle_beta 90.00
_cell_angle_gamma 90.00
loop_
_atom_site_label
_atom_site_type_symbol
_atom_site_fract_x
_atom_site_fract_y
_atom_site_fract_z
_atom_site_occupancy
Ba1 Ba 0.000 0.000 0.000 1
Y1 Y 0.000 0.000 0.500 1
Ni1 Ni 0.500 0.500 0.500 1


(4)
# Sc2NiAg | Alexandria | GGA-PBE | relaxed
# ΔE_f in eV/atom: -0.23
data_Sc2NiAg
_space_group_name_H-M_alt 'C 1 m 1'
_space_group_IT_number 8
_space_group_name_Hall 'C -2y'
_cell_length_a 10.120
_cell_length_b 3.220
_cell_length_c 4.723
_cell_angle_alpha 90.00
_cell_angle_beta 106.31
_cell_angle_gamma 90.00
loop_
_atom_site_label
_atom_site_type_symbol
_atom_site_fract_x
_atom_site_fract_y
_atom_site_fract_z
_atom_site_occupancy
Sc1 Sc 0.000 0.000 0.000 1
Sc2 Sc 0.210 0.000 0.640 1
Ni1 Ni 0.489 0.000 0.505 1
Ag1 Ag 0.262 0.500 0.190 1


(5)
# Sc2PBr | Alexandria | GGA-PBE | relaxed
# Raw formation energy in meV/atom: -1148
data_Sc2PBr
_space_group_name_H-M_alt 'A m m 2'
_space_group_IT_number 38
_space_group_name_Hall 'A 2 -2'
_cell_length_a 3.618
_cell_length_b 3.594
_cell_length_c 13.814
_cell_angle_alpha 90.00
_cell_angle_beta 90.00
_cell_angle_gamma 90.00
loop_
_atom_site_label
_atom_site_type_symbol
_atom_site_fract_x
_atom_site_fract_y
_atom_site_fract_z
_atom_site_occupancy
Sc1 Sc 0.000 0.000 0.000 1
Sc2 Sc 0.500 0.000 0.189 1
P1 P 0.500 0.000 0.550 1
Br1 Br 0.000 0.000 0.794 1


(6)
# LiB3Sb | Alexandria | GGA-PBE | relaxed
# Excess energy over the best structure of this formula in the dataset in eV per formula unit: 0.45
# Raw formation energy in meV/atom: 1969
data_LiB3Sb
_space_group_name_H-M_alt 'P m -3 m'
_space_group_IT_number 221
_space_group_name_Hall '-P 4 2 3'
_cell_length_a 4.564
_cell_length_b 4.564
_cell_length_c 4.564
_cell_angle_alpha 90.00
_cell_angle_beta 90.00
_cell_angle_gamma 90.00
loop_
_atom_site_label
_atom_site_type_symbol
_atom_site_fract_x
_atom_site_fract_y
_atom_site_fract_z
_atom_site_occupancy
Li1 Li 0.000 0.000 0.000 1
B1 B 0.000 0.500 0.500 1
Sb1 Sb 0.500 0.500 0.500 1


(7)
# ZrNO3 | Alexandria | GGA-PBE | relaxed
# Raw formation energy in meV/atom: -401
data_ZrNO3
_space_group_name_H-M_alt 'P m -3 m'
_space_group_IT_number 221
_space_group_name_Hall '-P 4 2 3'
_cell_length_a 4.151
_cell_length_b 4.151
_cell_length_c 4.151
_cell_angle_alpha 90.00
_cell_angle_beta 90.00
_cell_angle_gamma 90.00
loop_
_atom_site_label
_atom_site_type_symbol
_atom_site_fract_x
_atom_site_fract_y
_atom_site_fract_z
_atom_site_occupancy
Zr1 Zr 0.000 0.000 0.000 1
N1 N 0.500 0.500 0.500 1
O1 O 0.000 0.000 0.500 1


(8)
# AcPr2O | Alexandria | GGA-PBE | relaxed
# Excess energy over the best structure of this formula in the dataset in eV per formula unit: 2.04
# Raw formation energy in meV/atom: -712
data_AcPr2O
_space_group_name_H-M_alt 'P 4/m m m'
_space_group_IT_number 123
_space_group_name_Hall '-P 4 2'
_cell_length_a 3.420
_cell_length_b 3.420
_cell_length_c 8.933
_cell_angle_alpha 90.00
_cell_angle_beta 90.00
_cell_angle_gamma 90.00
loop_
_atom_site_label
_atom_site_type_symbol
_atom_site_fract_x
_atom_site_fract_y
_atom_site_fract_z
_atom_site_occupancy
Ac1 Ac 0.000 0.000 0.000 1
Pr1 Pr 0.500 0.500 0.325 1
O1 O 0.000 0.000 0.500 1


(9)
# Li4ZnSi | Alexandria | GGA-PBE | relaxed
# Excess energy over the best structure of this formula in the dataset in eV per formula unit: 0.00
# Raw formation energy in meV/atom: -214
data_Li4ZnSi
_space_group_name_H-M_alt 'P 6/m m m'
_space_group_IT_number 191
_space_group_name_Hall '-P 6 2'
_cell_length_a 4.3735
_cell_length_b 4.3735
_cell_length_c 5.1530
_cell_angle_alpha 90.00
_cell_angle_beta 90.00
_cell_angle_gamma 120.00
loop_
_atom_site_label
_atom_site_type_symbol
_atom_site_fract_x
_atom_site_fract_y
_atom_site_fract_z
_atom_site_occupancy
Li1 Li 0.3333 0.6667 0.2365 1
Zn1 Zn 0.0000 0.0000 0.5000 1
Si1 Si 0.0000 0.0000 0.0000 1


(10)
# HoTm3C8 | Alexandria | GGA-PBE | relaxed
# ΔE_f in eV/atom: 0.12
data_HoTm3C8
_space_group_name_H-M_alt 'C 1 m 1'
_space_group_IT_number 8
_space_group_name_Hall 'C -2y'
_cell_length_a 7.975
_cell_length_b 9.685
_cell_length_c 5.994
_cell_angle_alpha 90.00
_cell_angle_beta 131.56
_cell_angle_gamma 90.00
loop_
_atom_site_label
_atom_site_type_symbol
_atom_site_fract_x
_atom_site_fract_y
_atom_site_fract_z
_atom_site_occupancy
Ho1 Ho 0.000 0.000 0.000 1
Tm1 Tm 0.039 0.250 0.501 1
Tm2 Tm 0.488 0.000 0.001 1
C1 C 0.069 0.500 0.676 1
C2 C 0.108 0.242 0.002 1
C3 C 0.108 0.500 0.498 1
C4 C 0.111 0.000 0.504 1
C5 C 0.242 0.164 0.001 1
C6 C 0.394 0.500 0.325 1


(11)
# ZrTa2Ni | Alexandria | GGA-PBE | relaxed
# Excess energy over the best structure of this formula in the dataset in eV per formula unit: 0.57
# ΔE_f in eV/atom: 0.07
data_ZrTa2Ni
_space_group_name_H-M_alt 'P 4/m m m'
_space_group_IT_number 123
_space_group_name_Hall '-P 4 2'
_cell_length_a 3.920
_cell_length_b 3.920
_cell_length_c 4.583
_cell_angle_alpha 90.00
_cell_angle_beta 90.00
_cell_angle_gamma 90.00
loop_
_atom_site_label
_atom_site_type_symbol
_atom_site_fract_x
_atom_site_fract_y
_atom_site_fract_z
_atom_site_occupancy
Zr1 Zr 0.000 0.000 0.000 1
Ta1 Ta 0.000 0.500 0.500 1
Ni1 Ni 0.500 0.500 0.000 1


(12)
# Ag2Mo | Alexandria | GGA-PBE | relaxed
# Excess energy over the best structure of this formula in the dataset in eV per formula unit: 0.64
# ΔE_f in eV/atom: 0.60
data_Ag2Mo
_space_group_name_H-M_alt 'P 6/m m m'
_space_group_IT_number 191
_space_group_name_Hall '-P 6 2'
_cell_length_a 4.7036
_cell_length_b 4.7036
_cell_length_c 2.6619
_cell_angle_alpha 90.00
_cell_angle_beta 90.00
_cell_angle_gamma 120.00
loop_
_atom_site_label
_atom_site_type_symbol
_atom_site_fract_x
_atom_site_fract_y
_atom_site_fract_z
_atom_site_occupancy
Ag1 Ag 0.3333 0.6667 0.0000 1
Mo1 Mo 0.0000 0.0000 0.5000 1